Entry from the Alexandria database: KMnFe after structural relaxation (PBE-GGA).

Calculated values
* energy: -13.90 eV per cell
* calculated formation energy: 1611 meV per atom

Structure (extended XYZ):
```
3
Lattice="4.8948 0.0000 0.0000 2.4474 4.2391 0.0000 2.4474 1.4130 3.9966" Properties=species:S:1:pos:R:3 pbc="T T T"
K 0.0000 0.0000 0.0000
Fe 7.3423 4.2391 2.9975
Mn 4.8948 2.8260 1.9983
```